Entry 1:
InNi2As | PBE-GGA | relaxed

```
data_InNi2As
_space_group_name_H-M_alt 'P m m 2'
_space_group_IT_number 25
_space_group_name_Hall 'P 2 -2'
_cell_length_a 3.2972
_cell_length_b 3.3122
_cell_length_c 5.6534
_cell_angle_alpha 90.00
_cell_angle_beta 90.00
_cell_angle_gamma 90.00
loop_
_atom_site_label
_atom_site_type_symbol
_atom_site_fract_x
_atom_site_fract_y
_atom_site_fract_z
In1 In 0.0000 0.0000 0.0000
Ni1 Ni 0.0000 0.0000 0.4927
Ni2 Ni 0.5000 0.5000 0.2260
As1 As 0.5000 0.5000 0.6330
```



Entry 2:
InNi2As | PBE-GGA | relaxed

```
data_InNi2As
_space_group_name_H-M_alt 'C 1 2/m 1'
_space_group_IT_number 12
_space_group_name_Hall '-C 2y'
_cell_length_a 7.4986
_cell_length_b 2.9000
_cell_length_c 6.5486
_cell_angle_alpha 90.00
_cell_angle_beta 110.82
_cell_angle_gamma 90.00
loop_
_atom_site_label
_atom_site_type_symbol
_atom_site_fract_x
_atom_site_fract_y
_atom_site_fract_z
In1 In 0.0000 0.0000 0.0000
Ni1 Ni 0.2328 0.5000 0.3281
As1 As 0.0000 0.5000 0.5000
```



Entry 3:
InNiAs4 | PBE-GGA | relaxed

```
data_InNiAs4
_space_group_name_H-M_alt 'F -4 3 m'
_space_group_IT_number 216
_space_group_name_Hall 'F -4 2 3'
_cell_length_a 7.8754
_cell_length_b 7.8754
_cell_length_c 7.8754
_cell_angle_alpha 90.00
_cell_angle_beta 90.00
_cell_angle_gamma 90.00
loop_
_atom_site_label
_atom_site_type_symbol
_atom_site_fract_x
_atom_site_fract_y
_atom_site_fract_z
In1 In 0.0000 0.0000 0.0000
Ni1 Ni 0.2500 0.2500 0.7500
As1 As 0.1248 0.1248 0.3752
```



Entry 4:
InNi2As | PBE-GGA | relaxed

```
data_InNi2As
_space_group_name_H-M_alt 'C 1 m 1'
_space_group_IT_number 8
_space_group_name_Hall 'C -2y'
_cell_length_a 8.2491
_cell_length_b 3.2073
_cell_length_c 4.9775
_cell_angle_alpha 90.00
_cell_angle_beta 100.80
_cell_angle_gamma 90.00
loop_
_atom_site_label
_atom_site_type_symbol
_atom_site_fract_x
_atom_site_fract_y
_atom_site_fract_z
In1 In 0.0000 0.0000 0.0000
Ni1 Ni 0.0046 0.5000 0.5010
Ni2 Ni 0.2495 0.0000 0.7488
As1 As 0.2811 0.5000 0.4186
```



Entry 5:
InNi2As | PBE-GGA | relaxed

```
data_InNi2As
_space_group_name_H-M_alt 'P m m 2'
_space_group_IT_number 25
_space_group_name_Hall 'P 2 -2'
_cell_length_a 3.0182
_cell_length_b 3.7144
_cell_length_c 5.7477
_cell_angle_alpha 90.00
_cell_angle_beta 90.00
_cell_angle_gamma 90.00
loop_
_atom_site_label
_atom_site_type_symbol
_atom_site_fract_x
_atom_site_fract_y
_atom_site_fract_z
In1 In 0.0000 0.0000 0.0000
Ni1 Ni 0.5000 0.0000 0.4198
Ni2 Ni 0.5000 0.5000 0.7777
As1 As 0.0000 0.5000 0.4674
```



Entry 6:
InNi2As | PBE-GGA | relaxed

```
data_InNi2As
_space_group_name_H-M_alt 'I -4 2 d'
_space_group_IT_number 122
_space_group_name_Hall 'I -4 2bw'
_cell_length_a 4.2674
_cell_length_b 4.2674
_cell_length_c 15.5585
_cell_angle_alpha 90.00
_cell_angle_beta 90.00
_cell_angle_gamma 90.00
loop_
_atom_site_label
_atom_site_type_symbol
_atom_site_fract_x
_atom_site_fract_y
_atom_site_fract_z
In1 In 0.0000 0.0000 0.0000
Ni1 Ni 0.1551 0.2500 0.6250
As1 As 0.0000 0.0000 0.5000
```



Entry 7:
In4NiAs | PBE-GGA | relaxed

```
data_In4NiAs
_space_group_name_H-M_alt 'F -4 3 m'
_space_group_IT_number 216
_space_group_name_Hall 'F -4 2 3'
_cell_length_a 8.4170
_cell_length_b 8.4170
_cell_length_c 8.4170
_cell_angle_alpha 90.00
_cell_angle_beta 90.00
_cell_angle_gamma 90.00
loop_
_atom_site_label
_atom_site_type_symbol
_atom_site_fract_x
_atom_site_fract_y
_atom_site_fract_z
In1 In 0.1248 0.1248 0.1248
Ni1 Ni 0.2500 0.2500 0.7500
As1 As 0.0000 0.0000 0.5000
```



Entry 8:
NpIn2Ni7As2 | PBE-GGA | relaxed

```
data_NpIn2Ni7As2
_space_group_name_H-M_alt 'C 1 2/m 1'
_space_group_IT_number 12
_space_group_name_Hall '-C 2y'
_cell_length_a 5.2935
_cell_length_b 5.2876
_cell_length_c 13.8787
_cell_angle_alpha 90.00
_cell_angle_beta 95.30
_cell_angle_gamma 90.00
loop_
_atom_site_label
_atom_site_type_symbol
_atom_site_fract_x
_atom_site_fract_y
_atom_site_fract_z
Np1 Np 0.0000 0.0000 0.0000
In1 In 0.1138 0.0000 0.4022
Ni1 Ni 0.0000 0.5000 0.0000
Ni2 Ni 0.1082 0.5000 0.4173
Ni3 Ni 0.2103 0.2510 0.8566
As1 As 0.0678 0.5000 0.2488
```



Calculated volume, record by record: 15.44 16.64 20.35 16.17 16.11 17.71 24.85 16.12 Å³/atom
ΔH_f (0 K), record by record: -81 -46 552 -43 -97 49 627 -43 meV/atom